# ScMnAg4 | Alexandria via LeMat-Bulk | GGA-PBE | relaxed
# ρ	7.65	g/cm3
# final energy	-104.25	eV per cell
# ΔH_f (0 K)	0.1406	eV per atom
# N(E_F)	25.0	states/eV/cell
# M_tot	17.89	μB/cell
data_ScMnAg4
_symmetry_space_group_name_H-M 'F -4 3 m'
_symmetry_Int_Tables_number 216
_symmetry_space_group_name_Hall 'F -4 2 3'
_cell_length_a 7.7276
_cell_length_b 7.7276
_cell_length_c 7.7276
_cell_angle_alpha 90.00
_cell_angle_beta 90.00
_cell_angle_gamma 90.00
loop_
_atom_site_label
_atom_site_fract_x
_atom_site_fract_y
_atom_site_fract_z
Sc1 0.0000 0.0000 0.0000
Mn1 0.2500 0.2500 0.2500
Ag1 0.1248 0.1248 0.6248